DFT (GGA-PBE) results for a relaxed Ge2BSeS crystal.

Unit cell a=5.117 b=3.717 c=5.117 alpha=90.00 beta=90.00 gamma=90.00
Sites, in units of the cell vectors:
Ge 0.000 0.000 0.500
Ge 0.500 0.000 0.000
Se 0.500 0.500 0.500
S 0.000 0.000 0.000
B 0.000 0.500 0.000

Formation energy from raw total energies ... 795 meV per atom
Space-group type ... No. 123
Volume ... 97 Å³ per cell